5
Lattice="3.7591 0.0000 0.0000 0.0000 3.7591 0.0000 0.0000 0.0000 3.7591" Properties=species:S:1:pos:R:3 comment="MgCoC3, optimized geometry, DFT PBE" delta_e_f_ev_per_fu=8.966 space_group="Pm-3m, No. 221" relative_energy_mev_per_atom=0 pbc="T T T"
Co 0.0000 0.0000 0.0000
C 0.0000 1.8795 0.0000
C 1.8795 0.0000 0.0000
C 0.0000 0.0000 1.8795
Mg 1.8795 1.8795 1.8795